Entry 1:
Ba3YB2O8: relaxed, PBE.

density	5361	kg/m³

Structure (CIF):
```
data_Ba3YB2O8
_chemical_formula_sum 'Ba3 Y1 B2 O8'
_cell_length_a 5.6259
_cell_length_b 5.6259
_cell_length_c 7.3507
_cell_angle_alpha 90.00
_cell_angle_beta 90.00
_cell_angle_gamma 120.00
_space_group_name_H-M_alt 'P -3 m 1'
_space_group_IT_number 164
_space_group_name_Hall '-P 3 2"'
loop_
_atom_site_label
_atom_site_type_symbol
_atom_site_fract_x
_atom_site_fract_y
_atom_site_fract_z
Ba1 Ba 0.0000 0.0000 0.0000
Ba2 Ba 0.3333 0.6667 0.6946
Y1 Y 0.0000 0.0000 0.5000
B1 B 0.3333 0.6667 0.2487
O1 O 0.1871 0.3742 0.3187
O2 O 0.3333 0.6667 0.0497
```

---

Entry 2:
Ba3YB3O9: relaxed, PBE.

density	4761	kg/m³

Structure (CIF):
```
data_Ba3YB3O9
_chemical_formula_sum 'Ba18 Y6 B18 O54'
_cell_length_a 9.5068
_cell_length_b 9.5068
_cell_length_c 18.1103
_cell_angle_alpha 90.00
_cell_angle_beta 90.00
_cell_angle_gamma 120.00
_space_group_name_H-M_alt 'P 63 c m'
_space_group_IT_number 185
_space_group_name_Hall 'P 6c -2'
loop_
_atom_site_label
_atom_site_type_symbol
_atom_site_fract_x
_atom_site_fract_y
_atom_site_fract_z
Ba1 Ba 0.0000 0.0000 0.0000
Ba2 Ba 0.0000 0.3170 0.3478
Ba3 Ba 0.0000 0.3487 0.5850
Ba4 Ba 0.3333 0.6667 0.4390
Y1 Y 0.0000 0.0000 0.2135
Y2 Y 0.3333 0.6667 0.2194
B1 B 0.0000 0.3260 0.1419
B2 B 0.0000 0.3326 0.9672
B3 B 0.0000 0.3403 0.7960
O1 O 0.0000 0.1811 0.1320
O2 O 0.0000 0.1946 0.7861
O3 O 0.0000 0.4795 0.9674
O4 O 0.1460 0.4719 0.1467
O5 O 0.1469 0.3327 0.9668
O6 O 0.1466 0.4858 0.8014
```

---

no.,E_tot (eV for the cell shown),volume (A^3/atom)
1,-103.0,14.392
2,-739.9,14.766